Entry 1:
DFT (PBE) results for a geometry-optimized Ag2Ru structure.

The structure in POSCAR format:
```
Ag2Ru
1.0
4.8393 0.0000 0.0000
0.0000 4.8393 0.0000
0.0000 0.0000 2.6509
Ag Ru
2 1
Direct
0.0000 0.5000 0.0000
0.5000 0.0000 0.0000
0.0000 0.0000 0.5000
```

Properties
Offset from the most stable computed form in eV per atom: 0.4084
Energy relative to the elements in eV/atom: 0.763


Entry 2:
DFT (PBE) results for a geometry-optimized Nd3Cu3Ir2 structure.

The structure in POSCAR format:
```
Nd3Cu3Ir2
1.0
2.1229 -5.2795 0.0000
2.1229 5.2795 0.0000
0.0000 0.0000 15.5126
Nd Cu Ir
6 6 4
Direct
0.0946 0.9054 0.7500
0.3674 0.6326 0.5851
0.3674 0.6326 0.9149
0.6326 0.3674 0.0851
0.6326 0.3674 0.4149
0.9054 0.0946 0.2500
0.0807 0.9193 0.5545
0.0807 0.9193 0.9455
0.1924 0.8076 0.2500
0.8076 0.1924 0.7500
0.9193 0.0807 0.0545
0.9193 0.0807 0.4455
0.3315 0.6685 0.1171
0.3315 0.6685 0.3829
0.6685 0.3315 0.6171
0.6685 0.3315 0.8829
```

Properties
Energy relative to the elements in eV/atom: -0.387


Entry 3:
DFT (PBE) results for a geometry-optimized TcAs2WBr structure.

The structure in POSCAR format:
```
TcAs2WBr
1.0
4.8596 0.0000 0.0000
0.0000 4.8596 0.0000
0.0000 0.0000 5.3068
Tc As W Br
1 2 1 1
Direct
0.0000 0.0000 0.0000
0.0000 0.5000 0.5000
0.5000 0.0000 0.5000
0.5000 0.5000 0.5000
0.5000 0.5000 0.0000
```

Properties
Energy relative to the elements, uncorrected in kJ per mole of atoms: 116.94
Offset from the most stable computed form in eV per atom: 0.0000


Entry 4:
DFT (PBE) results for a geometry-optimized SrCd2Ni2 structure.

The structure in POSCAR format:
```
SrCd2Ni2
1.0
-2.3211 2.3211 5.0900
2.3211 -2.3211 5.0900
2.3211 2.3211 -5.0900
Sr Cd Ni
1 2 2
Direct
0.0000 0.0000 0.0000
0.3602 0.3602 0.0000
0.6398 0.6398 0.0000
0.2500 0.7500 0.5000
0.7500 0.2500 0.5000
```

Properties
Offset from the most stable computed form in eV per atom: 0.1029
Energy relative to the elements in eV/atom: 0.023


Entry 5:
DFT (PBE) results for a geometry-optimized NaTl3Sn2 structure.

The structure in POSCAR format:
```
NaTl3Sn2
1.0
5.7963 -2.2381 0.0000
5.7963 2.2381 0.0000
-2.7373 0.0000 6.7074
Na Tl Sn
1 3 2
Direct
0.0000 0.0000 0.0000
0.0000 0.0000 0.5000
0.3382 0.3382 0.6725
0.6618 0.6618 0.3275
0.3198 0.3198 0.1426
0.6802 0.6802 0.8574
```

Properties
Offset from the most stable computed form in eV per atom: 0.0000
Energy relative to the elements in eV/atom: -0.061


Entry 6:
DFT (PBE) results for a geometry-optimized La3Er8Tm structure.

The structure in POSCAR format:
```
La3Er8Tm
1.0
-4.4046 4.4046 5.6271
4.4046 -4.4046 5.6271
4.4046 4.4046 -5.6271
La Er Tm
3 8 1
Direct
0.0000 0.0000 0.0000
0.2500 0.7500 0.5000
0.7500 0.2500 0.5000
0.1327 0.3811 0.0000
0.2430 0.2430 0.5174
0.2744 0.7570 0.0000
0.3811 0.1327 0.0000
0.6189 0.6189 0.7515
0.7256 0.7256 0.4826
0.7570 0.2744 0.0000
0.8673 0.8673 0.2485
0.5000 0.5000 0.0000
```

Properties
Energy relative to the elements in eV/atom: 0.612


Entry 7:
DFT (PBE) results for a geometry-optimized Ac2La3ErSb6 structure.

The structure in POSCAR format:
```
Ac2La3ErSb6
1.0
4.0235 -6.9696 0.0000
4.0235 6.9696 0.0000
-2.6930 0.0000 7.5831
Ac La Er Sb
2 3 1 6
Direct
0.1653 0.8347 0.0000
0.8347 0.1653 0.0000
0.0000 0.0000 0.5000
0.3296 0.6704 0.5000
0.6704 0.3296 0.5000
0.5000 0.5000 0.0000
0.0974 0.4170 0.7497
0.2662 0.2662 0.2538
0.4170 0.0974 0.7497
0.5830 0.9026 0.2503
0.7338 0.7338 0.7462
0.9026 0.5830 0.2503
```

Properties
Energy relative to the elements, uncorrected in kJ per mole of atoms: -115.98


Entry 8:
DFT (PBE) results for a geometry-optimized Cs5Rb5Hg2 structure.

The structure in POSCAR format:
```
Cs5Rb5Hg2
1.0
8.0478 -3.9534 0.0000
8.0478 3.9534 0.0000
-0.5895 0.0000 15.3076
Cs Rb Hg
5 5 2
Direct
0.0000 0.0000 0.0000
0.1518 0.1518 0.7541
0.2978 0.2978 0.4221
0.7022 0.7022 0.5779
0.8482 0.8482 0.2459
0.0000 0.0000 0.5000
0.2867 0.2867 0.0818
0.4365 0.4365 0.7539
0.5635 0.5635 0.2461
0.7133 0.7133 0.9182
0.0994 0.0994 0.2539
0.9006 0.9006 0.7461
```

Properties
Energy relative to the elements in eV/atom: -0.044